GGA-PBE ScFeBr2, optimized geometry; ΔE_f (raw) = -84 meV/atom; density = 5.14 Mg/m³; SG = Pmmm; spin magnetization = 2.6 μB/cell; DOS at the Fermi energy = 4.51 states/eV/cell
1.0
3.4744 0.0000 0.0000
0.0000 4.2074 0.0000
0.0000 0.0000 5.7575
Sc Fe Br
1 1 2
Cartesian
0.0000 0.0000 0.0000 Sc
1.7372 0.0000 2.8787 Fe
0.0000 2.1037 2.8787 Br
1.7372 2.1037 0.0000 Br

=====

GGA-PBE Na3Np3NbN8, optimized geometry; ΔE_f (raw) = -786 meV/atom; density = 7.25 Mg/m³; SG = R-3m; spin magnetization = 5.0 μB/cell; DOS at the Fermi energy = 14.09 states/eV/cell
1.0
3.3756 1.9489 5.7163
-3.3756 1.9489 5.7163
0.0000 -3.8978 5.7163
Na Np Nb N
3 3 1 8
Cartesian
-1.6878 -0.9745 5.7163 Na
-1.6878 0.9745 11.4326 Na
0.0000 1.9489 5.7163 Na
-3.3756 0.0000 8.5745 Np
-1.6878 0.9745 2.8581 Np
1.6878 0.9745 2.8582 Np
0.0000 0.0000 8.5745 Nb
0.0000 0.0000 3.9311 N
-1.6500 -0.9526 9.5843 N
0.0000 -1.9052 7.5647 N
-1.6500 0.9526 7.5647 N
1.6500 -0.9526 9.5843 N
0.0000 1.9052 9.5843 N
1.6500 0.9526 7.5646 N
0.0000 0.0000 13.2179 N

=====

GGA-PBE Ca2PrNd, optimized geometry; density = 4.03 Mg/m³; formation enthalpy at 0 K = 0.080 eV per atom; SG = R3m; spin magnetization = 0.0 μB/cell; DOS at the Fermi energy = 20.67 states/eV/cell
1.0
3.7329 0.0000 0.0000
-1.8664 3.2327 0.0000
0.0000 0.0000 37.4552
Ca Pr Nd
6 3 3
Cartesian
0.0000 0.0000 0.0000 Ca
0.0000 0.0000 6.2433 Ca
0.0000 2.1552 24.9701 Ca
0.0000 2.1552 31.2134 Ca
1.8664 1.0776 12.4850 Ca
1.8664 1.0776 18.7283 Ca
0.0000 0.0000 28.0802 Pr
0.0000 2.1552 15.5951 Pr
1.8664 1.0776 3.1101 Pr
0.0000 0.0000 21.8638 Nd
0.0000 2.1552 9.3787 Nd
1.8664 1.0776 34.3488 Nd

=====

GGA-PBE Ac4GaSi3, optimized geometry; ΔE_f (raw) = -575 meV/atom; density = 7.57 Mg/m³; SG = Pmm2; spin magnetization = 0.0 μB/cell; DOS at the Fermi energy = 6.64 states/eV/cell
1.0
4.1633 0.0000 0.0000
0.0000 4.7388 0.0000
0.0000 0.0000 11.8012
Ac Ga Si
4 1 3
Cartesian
0.0000 0.0000 0.0000 Ac
0.0000 2.3694 5.8246 Ac
2.0816 0.0000 8.3903 Ac
2.0816 2.3694 2.5281 Ac
0.0000 2.3694 9.3195 Ga
0.0000 0.0000 3.4296 Si
2.0816 0.0000 4.9280 Si
2.0816 2.3694 10.8914 Si

=====

GGA-PBE CeSbRh, optimized geometry; ΔE_f (raw) = -920 meV/atom; density = 8.82 Mg/m³; SG = P3m1; spin magnetization = 0.3 μB/cell; DOS at the Fermi energy = 2.86 states/eV/cell
1.0
4.5683 0.0000 0.0000
-2.2842 3.9563 0.0000
0.0000 0.0000 3.7989
Ce Sb Rh
1 1 1
Cartesian
0.0000 0.0000 0.0000 Ce
0.0000 2.6375 1.8978 Sb
2.2842 1.3188 1.9049 Rh

=====

GGA-PBE RbTaHg3, optimized geometry; density = 5.59 Mg/m³; formation enthalpy at 0 K = 1.537 eV per atom; SG = Pm-3m; spin magnetization = 4.0 μB/cell; DOS at the Fermi energy = 2.89 states/eV/cell
1.0
6.3665 0.0000 0.0000
0.0000 6.3665 0.0000
0.0000 0.0000 6.3665
Rb Ta Hg
1 1 3
Cartesian
0.0000 0.0000 0.0000 Rb
3.1833 3.1833 3.1833 Ta
0.0000 0.0000 3.1833 Hg
0.0000 3.1833 0.0000 Hg
3.1833 0.0000 0.0000 Hg

=====

GGA-PBE TbErCd2, optimized geometry; density = 8.77 Mg/m³; formation enthalpy at 0 K = -0.318 eV per atom; SG = P4/mmm; spin magnetization = 0.0 μB/cell; DOS at the Fermi energy = 4.17 states/eV/cell
1.0
5.2598 0.0000 0.0000
0.0000 5.2598 0.0000
0.0000 0.0000 3.7711
Tb Er Cd
1 1 2
Cartesian
0.0000 0.0000 0.0000 Tb
2.6299 2.6299 0.0000 Er
0.0000 2.6299 1.8855 Cd
2.6299 0.0000 1.8855 Cd

=====

GGA-PBE Pt4Rh3, optimized geometry; density = 17.21 Mg/m³; formation enthalpy at 0 K = -0.026 eV per atom; SG = Immm; spin magnetization = 0.0 μB/cell; DOS at the Fermi energy = 24.23 states/eV/cell
1.0
2.7725 0.0000 0.0000
0.0000 3.9085 0.0000
0.0000 0.0000 19.3946
Pt Rh
8 6
Cartesian
0.0000 0.0000 1.3788 Pt
0.0000 0.0000 4.1398 Pt
0.0000 0.0000 15.2548 Pt
0.0000 0.0000 18.0158 Pt
1.3862 1.9542 5.5575 Pt
1.3862 1.9542 8.3185 Pt
1.3862 1.9542 11.0761 Pt
1.3862 1.9542 13.8371 Pt
0.0000 0.0000 6.9495 Rh
0.0000 0.0000 9.6973 Rh
0.0000 0.0000 12.4451 Rh
1.3862 1.9542 0.0000 Rh
1.3862 1.9542 2.7478 Rh
1.3862 1.9542 16.6468 Rh